LiAc2Hg5 | PBE | relaxed

Structure (POSCAR):
```
LiAc2Hg5
1.0
5.539 0.000 0.000
0.000 5.539 0.000
0.000 0.000 14.666
Li Ac Hg
2 4 10
Direct
0.000 0.000 0.000
0.500 0.500 0.500
0.000 0.000 0.261
0.000 0.000 0.739
0.500 0.500 0.239
0.500 0.500 0.761
0.000 0.000 0.500
0.000 0.500 0.110
0.000 0.500 0.390
0.000 0.500 0.610
0.000 0.500 0.890
0.500 0.000 0.110
0.500 0.000 0.390
0.500 0.000 0.610
0.500 0.000 0.890
0.500 0.500 0.000
```

Calculated values
calculated volume = 28.125 A^3/atom



VCoCu | PBE | relaxed

Structure (POSCAR):
```
VCoCu
1.0
2.447 0.000 0.000
0.000 2.447 0.000
0.000 0.000 13.060
V Co Cu
2 2 2
Direct
0.000 0.000 0.000
0.500 0.500 0.500
0.000 0.000 0.835
0.500 0.500 0.335
0.000 0.000 0.191
0.500 0.500 0.691
```

Calculated values
energy above the lowest structure with this stoichiometry = 494.0 meV/atom
calculated volume = 13.032 A^3/atom



LiTl | PBE | relaxed

Structure (POSCAR):
```
LiTl
1.0
4.909 0.000 0.000
-2.455 4.252 0.000
0.000 0.000 8.921
Li Tl
4 4
Direct
0.000 0.000 0.250
0.000 0.000 0.750
0.333 0.667 0.250
0.667 0.333 0.750
0.333 0.667 0.579
0.333 0.667 0.921
0.667 0.333 0.079
0.667 0.333 0.421
```

Calculated values
calculated volume = 23.276 A^3/atom



Number 1: energy of formation -2.51 eV/f.u.. Number 2: energy of formation 1.60 eV/f.u.. Number 3: energy of formation -0.20 eV/f.u..